Material: LiNpAl2O6
Method: DFT, PBE
State: relaxed

Cell: 10.028 9.465 5.232 Å, 90.00 102.80 90.00°
Space group C2/c (No. 15)
Asymmetric unit:
Li 0.000 0.072 0.250 [4 per cell]
Np 0.000 0.274 0.750 [4 per cell]
Al 0.205 0.414 0.305 [8 per cell]
O 0.116 0.104 0.629 [8 per cell]
O 0.118 0.270 0.116 [8 per cell]
O 0.147 0.436 0.602 [8 per cell]

E_tot in eV per cell: -320.34
Raw formation energy in eV per formula unit: -28.00

Material: Li2NpAlS4
Method: DFT, PBE
State: relaxed

Cell: 6.478 3.683 6.619 Å, 90.00 109.50 90.00°
Space group P2/m (No. 10)
Asymmetric unit:
Li 0.000 0.000 0.000 [1 per cell]
Li 0.000 0.500 0.500 [1 per cell]
Np 0.500 0.000 0.500 [1 per cell]
Al 0.500 0.500 0.000 [1 per cell]
S 0.253 0.500 0.221 [2 per cell]
S 0.270 0.000 0.779 [2 per cell]

E_tot in eV per cell: -46.53
Raw formation energy in eV per formula unit: -9.51

Material: LiNpAlSn
Method: DFT, PBE
State: relaxed

Cell: 7.087 7.087 7.087 Å, 90.00 90.00 90.00°
Space group F-43m (No. 216)
Asymmetric unit:
Li 0.000 0.000 0.000 [4 per cell]
Np 0.000 0.000 0.500 [4 per cell]
Al 0.250 0.250 0.750 [4 per cell]
Sn 0.250 0.250 0.250 [4 per cell]

E_tot in eV per cell: -89.65

Material: LiAl2O3
Method: DFT, PBE
State: relaxed

Cell: 7.979 8.612 5.423 Å, 90.00 90.00 90.00°
Space group Cmcm (No. 63)
Asymmetric unit:
Li 0.000 0.170 0.250 [4 per cell]
Al 0.170 0.500 0.000 [8 per cell]
O 0.000 0.414 0.250 [4 per cell]
O 0.213 0.072 0.250 [8 per cell]

E_tot in eV per cell: -147.84
Raw formation energy in eV per formula unit: -12.69

Material: LiAl2O
Method: DFT, PBE
State: relaxed

Cell: 6.721 6.721 4.776 Å, 90.00 90.00 90.00°
Space group I-42d (No. 122)
Asymmetric unit:
Li 0.000 0.000 0.000 [4 per cell]
Al 0.160 0.250 0.625 [8 per cell]
O 0.000 0.000 0.500 [4 per cell]

E_tot in eV per cell: -69.86
Raw formation energy in eV per formula unit: -3.11

Material: LiAl3O
Method: DFT, PBE
State: relaxed

Cell: 4.331 4.331 4.331 Å, 90.00 90.00 90.00°
Space group Pm-3m (No. 221)
Asymmetric unit:
Li 0.000 0.000 0.000 [1 per cell]
Al 0.000 0.000 0.500 [3 per cell]
O 0.500 0.500 0.500 [1 per cell]

E_tot in eV per cell: -15.21
Raw formation energy in eV per formula unit: 2.89
Energy above the most stable polymorph in this dataset in eV per atom: 0.8640

Material: Li5AlO4
Method: DFT, PBE
State: relaxed

Cell: 2.948 5.422 10.840 Å, 90.00 90.00 90.00°
Space group Immm (No. 71)
Asymmetric unit:
Li 0.000 0.000 0.000 [2 per cell]
Li 0.000 0.226 0.326 [8 per cell]
Al 0.000 0.500 0.000 [2 per cell]
O 0.000 0.239 0.500 [4 per cell]
O 0.000 0.500 0.191 [4 per cell]

E_tot in eV per cell: -108.35
Raw formation energy in eV per formula unit: -21.03
Energy above the most stable polymorph in this dataset in eV per atom: 0.1111

Material: Li3Al5O12
Method: DFT, PBE
State: relaxed

Cell: 11.712 11.712 11.712 Å, 90.00 90.00 90.00°
Space group Ia-3d (No. 230)
Asymmetric unit:
Li 0.000 0.250 0.125 [24 per cell]
Al 0.000 0.000 0.000 [16 per cell]
Al 0.000 0.250 0.375 [24 per cell]
O 0.041 0.067 0.643 [96 per cell]

E_tot in eV per cell: -987.68
Raw formation energy in eV per formula unit: -39.51

no.,M_tot (μB per atom),Fermi-level density of states (states/eV/cell)
1,0.20,19.61
2,0.49,8.09
3,1.07,33.02
4,0.00,1.81
5,0.00,5.51
6,0.00,0.53
7,0.00,0.00
8,0.30,25.66